DFT (PBE) results for a geometry-optimized NdCuAg2 structure.

Geometry as CIF:
```
data_NdCuAg2
_chemical_formula_sum 'Nd4 Cu4 Ag8'
_cell_length_a 6.9696
_cell_length_b 6.9696
_cell_length_c 6.9696
_cell_angle_alpha 90.00
_cell_angle_beta 90.00
_cell_angle_gamma 90.00
_space_group_name_H-M_alt 'F m -3 m'
_space_group_IT_number 225
_space_group_name_Hall '-F 4 2 3'
loop_
_atom_site_label
_atom_site_fract_x
_atom_site_fract_y
_atom_site_fract_z
Nd1 0.0000 0.0000 0.0000
Cu1 0.0000 0.0000 0.5000
Ag1 0.2500 0.2500 0.2500
```

The calculation puts the density of states at the Fermi level at 8.8 states/eV/cell. The total moment is 0.000 Bohr magnetons per cell. The excess energy over the best structure of this formula in the dataset comes out at 155 meV per atom. Its theoretical density is 8.31 g cm⁻³. As for the formation energy: -0.19 eV per formula unit.

DFT (PBE) results for a geometry-optimized Y5Pt structure.

Geometry as CIF:
```
data_Y5Pt
_chemical_formula_sum 'Y5 Pt1'
_cell_length_a 3.5737
_cell_length_b 3.5737
_cell_length_c 13.5849
_cell_angle_alpha 90.00
_cell_angle_beta 90.00
_cell_angle_gamma 90.00
_space_group_name_H-M_alt 'P 4/m m m'
_space_group_IT_number 123
_space_group_name_Hall '-P 4 2'
loop_
_atom_site_label
_atom_site_fract_x
_atom_site_fract_y
_atom_site_fract_z
Y1 0.0000 0.0000 0.0000
Y2 0.0000 0.0000 0.3784
Y3 0.5000 0.5000 0.1844
Pt1 0.5000 0.5000 0.5000
```

The calculation puts the density of states at the Fermi level at 8.2 states/eV/cell. The total moment is 0.008 Bohr magnetons per cell. The excess energy over the best structure of this formula in the dataset comes out at 17 meV per atom. Its theoretical density is 6.12 g cm⁻³. As for the formation energy: -2.27 eV per formula unit.

DFT (PBE) results for a geometry-optimized VGePd5 structure.

Geometry as CIF:
```
data_VGePd5
_chemical_formula_sum 'V4 Ge4 Pd20'
_cell_length_a 9.6518
_cell_length_b 9.2197
_cell_length_c 6.5988
_cell_angle_alpha 90.00
_cell_angle_beta 123.26
_cell_angle_gamma 90.00
_space_group_name_H-M_alt 'C 1 2/c 1'
_space_group_IT_number 15
loop_
_space_group_symop_operation_xyz
'x,y,z'
'-x,-y,-z'
'-x,y,-z+1/2'
'x,-y,z+1/2'
'x+1/2,y+1/2,z'
'-x+1/2,-y+1/2,-z'
'-x+1/2,y+1/2,-z+1/2'
'x+1/2,-y+1/2,z+1/2'
loop_
_atom_site_label
_atom_site_fract_x
_atom_site_fract_y
_atom_site_fract_z
V1 0.0000 0.0361 0.2500
Ge1 0.0000 0.5000 0.0000
Pd1 0.0000 0.3071 0.2500
Pd2 0.1141 0.1908 0.9954
Pd3 0.2062 0.0908 0.6840
```

The calculation puts the density of states at the Fermi level at 18.4 states/eV/cell. The total moment is 0.007 Bohr magnetons per cell. Its theoretical density is 8.87 g cm⁻³. As for the formation energy: 0.12 eV per formula unit.